No. 1
# TiZnSCl2 (GGA-PBE, relaxed)
data_TiZnSCl2
_chemical_formula_sum 'Ti1 Zn1 S1 Cl2'
_symmetry_space_group_name_H-M 'P 4/m m m'
_symmetry_Int_Tables_number 123
_symmetry_space_group_name_Hall '-P 4 2'
_cell_length_a 4.669
_cell_length_b 4.669
_cell_length_c 4.946
_cell_angle_alpha 90.00
_cell_angle_beta 90.00
_cell_angle_gamma 90.00
loop_
_atom_site_label
_atom_site_type_symbol
_atom_site_fract_x
_atom_site_fract_y
_atom_site_fract_z
Ti1 Ti 0.000 0.000 0.000
Zn1 Zn 0.500 0.500 0.500
S1 S 0.500 0.500 0.000
Cl1 Cl 0.000 0.500 0.500
# ΔE_f (raw): -0.206 eV per atom
# magnetic moment: 1.99 μB per cell
# N(E_F): 1.647 states/eV per atom
# energy above the most stable polymorph in this dataset: 527 meV/atom



No. 2
# Er6As2PtSe3 (GGA-PBE, relaxed)
data_Er6As2PtSe3
_chemical_formula_sum 'Er12 As4 Pt2 Se6'
_symmetry_space_group_name_H-M 'C 1 2/m 1'
_symmetry_Int_Tables_number 12
_symmetry_space_group_name_Hall '-C 2y'
_cell_length_a 17.850
_cell_length_b 4.034
_cell_length_c 8.208
_cell_angle_alpha 90.00
_cell_angle_beta 103.69
_cell_angle_gamma 90.00
loop_
_atom_site_label
_atom_site_type_symbol
_atom_site_fract_x
_atom_site_fract_y
_atom_site_fract_z
Er1 Er 0.001 0.000 0.236
Er2 Er 0.163 0.500 0.088
Er3 Er 0.170 0.500 0.576
As1 As 0.167 0.000 0.335
Pt1 Pt 0.000 0.500 0.000
Se1 Se 0.000 0.500 0.500
Se2 Se 0.170 0.000 0.832
# ΔE_f (raw): -1.594 eV per atom
# magnetic moment: 0.00 μB per cell
# N(E_F): 0.498 states/eV per atom



No. 3
# DyZn2SiAu4 (GGA-PBE, relaxed)
data_DyZn2SiAu4
_chemical_formula_sum 'Dy3 Zn6 Si3 Au12'
_symmetry_space_group_name_H-M 'R -3 m'
_symmetry_Int_Tables_number 166
_symmetry_space_group_name_Hall '-R 3 2"'
_cell_length_a 4.4254
_cell_length_b 4.4254
_cell_length_c 26.3600
_cell_angle_alpha 90.00
_cell_angle_beta 90.00
_cell_angle_gamma 120.00
loop_
_atom_site_label
_atom_site_type_symbol
_atom_site_fract_x
_atom_site_fract_y
_atom_site_fract_z
Dy1 Dy 0.0000 0.0000 0.0000
Zn1 Zn 0.0000 0.0000 0.2532
Si1 Si 0.0000 0.0000 0.5000
Au1 Au 0.0000 0.0000 0.1311
Au2 Au 0.0000 0.0000 0.3961
# ΔE_f (raw): -0.317 eV per atom
# magnetic moment: 0.00 μB per cell
# N(E_F): 0.288 states/eV per atom



No. 4
# ZrIn2Pt (GGA-PBE, relaxed)
data_ZrIn2Pt
_chemical_formula_sum 'Zr2 In4 Pt2'
_symmetry_space_group_name_H-M 'C 1 2/m 1'
_symmetry_Int_Tables_number 12
_symmetry_space_group_name_Hall '-C 2y'
_cell_length_a 11.405
_cell_length_b 3.087
_cell_length_c 5.337
_cell_angle_alpha 90.00
_cell_angle_beta 117.42
_cell_angle_gamma 90.00
loop_
_atom_site_label
_atom_site_type_symbol
_atom_site_fract_x
_atom_site_fract_y
_atom_site_fract_z
Zr1 Zr 0.000 0.000 0.000
In1 In 0.229 0.000 0.729
Pt1 Pt 0.000 0.500 0.500
# magnetic moment: 0.00 μB per cell
# N(E_F): 0.547 states/eV per atom
# formation energy: -0.344 eV per atom



No. 5
# Tb2PrHo5Th (GGA-PBE, relaxed)
data_Tb2PrHo5Th
_chemical_formula_sum 'Tb8 Pr4 Ho20 Th4'
_symmetry_space_group_name_H-M 'C m c 21'
_symmetry_Int_Tables_number 36
_symmetry_space_group_name_Hall 'C 2c -2'
_cell_length_a 5.640
_cell_length_b 20.108
_cell_length_c 10.356
_cell_angle_alpha 90.00
_cell_angle_beta 90.00
_cell_angle_gamma 90.00
loop_
_atom_site_label
_atom_site_type_symbol
_atom_site_fract_x
_atom_site_fract_y
_atom_site_fract_z
Tb1 Tb 0.000 0.112 0.000
Tb2 Tb 0.000 0.116 0.409
Pr1 Pr 0.000 0.412 0.123
Ho1 Ho 0.000 0.017 0.703
Ho2 Ho 0.000 0.274 0.000
Ho3 Ho 0.000 0.298 0.390
Ho4 Ho 0.000 0.387 0.705
Ho5 Ho 0.000 0.477 0.416
Th1 Th 0.000 0.200 0.697
# magnetic moment: 0.00 μB per cell
# N(E_F): 1.655 states/eV per atom
# formation energy: 0.169 eV per atom



No. 6
# BaSi2Ni (GGA-PBE, relaxed)
data_BaSi2Ni
_chemical_formula_sum 'Ba4 Si8 Ni4'
_symmetry_space_group_name_H-M 'P n m a'
_symmetry_Int_Tables_number 62
_symmetry_space_group_name_Hall '-P 2ac 2n'
_cell_length_a 7.897
_cell_length_b 6.346
_cell_length_c 6.597
_cell_angle_alpha 90.00
_cell_angle_beta 90.00
_cell_angle_gamma 90.00
loop_
_atom_site_label
_atom_site_type_symbol
_atom_site_fract_x
_atom_site_fract_y
_atom_site_fract_z
Ba1 Ba 0.020 0.250 0.109
Si1 Si 0.143 0.068 0.570
Ni1 Ni 0.123 0.750 0.375
# ΔE_f (raw): -0.273 eV per atom
# magnetic moment: 0.00 μB per cell
# N(E_F): 0.271 states/eV per atom